# CsBeSbPd

A relaxed structure of CsBeSbPd (PBE-GGA, OQMD).

abc: 5.1314 5.1314 5.1314
angles: 60.00 60.00 60.00
Element x y z (fractional)
Cs: 0.0000 0.0000 0.0000
Be: 0.7500 0.7500 0.7500
Sb: 0.5000 0.5000 0.5000
Pd: 0.2500 0.2500 0.2500

Summary:
The symmetry is F-43m, No. 216. The value obtained for the calculated total energy is -2.8323 eV per atom. The mass density comes out at 6.432 g/cm³. Its energy above the most stable polymorph in this dataset is 0 meV per atom.



# CsBePdSe3

A relaxed structure of CsBePdSe3 (PBE-GGA, OQMD).

abc: 7.9818 7.9818 10.6319
angles: 90.00 90.00 152.26
Element x y z (fractional)
Cs: 0.2390 0.7610 0.7500
Cs: 0.7610 0.2390 0.2500
Be: 0.0340 0.9660 0.2500
Be: 0.9660 0.0340 0.7500
Pd: 0.5000 0.5000 0.0000
Pd: 0.5000 0.5000 0.5000
Se: 0.1008 0.8992 0.0609
Se: 0.1008 0.8992 0.4391
Se: 0.4561 0.5439 0.2500
Se: 0.5439 0.4561 0.7500
Se: 0.8992 0.1008 0.5609
Se: 0.8992 0.1008 0.9391

Summary:
The symmetry is Cmcm, No. 63. The value obtained for the calculated total energy is -4.0519 eV per atom. The mass density comes out at 5.112 g/cm³.



# CsBeTe3Pd

A relaxed structure of CsBeTe3Pd (PBE-GGA, OQMD).

abc: 8.4692 8.4692 11.4089
angles: 90.00 90.00 151.95
Element x y z (fractional)
Cs: 0.2421 0.7579 0.7500
Cs: 0.7579 0.2421 0.2500
Be: 0.0393 0.9607 0.2500
Be: 0.9607 0.0393 0.7500
Te: 0.1027 0.8973 0.0534
Te: 0.1027 0.8973 0.4466
Te: 0.4567 0.5433 0.2500
Te: 0.5433 0.4567 0.7500
Te: 0.8973 0.1027 0.5534
Te: 0.8973 0.1027 0.9466
Pd: 0.5000 0.5000 0.0000
Pd: 0.5000 0.5000 0.5000

Summary:
The symmetry is Cmcm, No. 63. The value obtained for the calculated total energy is -3.6812 eV per atom. The mass density comes out at 5.447 g/cm³.



# CsPrBeS3

A relaxed structure of CsPrBeS3 (PBE-GGA, OQMD).

abc: 8.0161 8.0161 10.9224
angles: 90.00 90.00 150.69
Element x y z (fractional)
Cs: 0.2389 0.7611 0.7500
Cs: 0.7611 0.2389 0.2500
Pr: 0.5000 0.5000 0.0000
Pr: 0.5000 0.5000 0.5000
Be: 0.0419 0.9581 0.2500
Be: 0.9581 0.0419 0.7500
S: 0.1122 0.8878 0.0877
S: 0.1122 0.8878 0.4123
S: 0.4546 0.5454 0.2500
S: 0.5454 0.4546 0.7500
S: 0.8878 0.1122 0.5877
S: 0.8878 0.1122 0.9123

Summary:
The symmetry is Cmcm, No. 63. For the magnetic moment, the calculation gives 0.002 μB per formula unit. The value obtained for the calculated total energy is -5.1316 eV per atom. The mass density comes out at 3.664 g/cm³.



# CsBeSbPt

A relaxed structure of CsBeSbPt (PBE-GGA, OQMD).

abc: 5.1949 5.1949 5.1949
angles: 60.00 60.00 60.00
Element x y z (fractional)
Cs: 0.0000 0.0000 0.0000
Be: 0.5000 0.5000 0.5000
Sb: 0.2500 0.2500 0.2500
Pt: 0.7500 0.7500 0.7500

Summary:
The symmetry is F-43m, No. 216. For the magnetic moment, the calculation gives 0.001 μB per formula unit. The value obtained for the calculated total energy is -2.6885 eV per atom. The mass density comes out at 7.685 g/cm³. Its energy above the most stable polymorph in this dataset is 215 meV per atom.



# CsBeSbPt

A relaxed structure of CsBeSbPt (PBE-GGA, OQMD).

abc: 5.1006 5.1006 5.1006
angles: 60.00 60.00 60.00
Element x y z (fractional)
Cs: 0.0000 0.0000 0.0000
Be: 0.2500 0.2500 0.2500
Sb: 0.7500 0.7500 0.7500
Pt: 0.5000 0.5000 0.5000

Summary:
The symmetry is F-43m, No. 216. For the magnetic moment, the calculation gives 0.002 μB per formula unit. The value obtained for the calculated total energy is -2.8763 eV per atom. The mass density comes out at 8.119 g/cm³. Its energy above the most stable polymorph in this dataset is 27 meV per atom.



# CsBeSbPt

A relaxed structure of CsBeSbPt (PBE-GGA, OQMD).

abc: 5.1360 5.1360 5.1360
angles: 60.00 60.00 60.00
Element x y z (fractional)
Cs: 0.0000 0.0000 0.0000
Be: 0.7500 0.7500 0.7500
Sb: 0.5000 0.5000 0.5000
Pt: 0.2500 0.2500 0.2500

Summary:
The symmetry is F-43m, No. 216. For the magnetic moment, the calculation gives 0.004 μB per formula unit. The value obtained for the calculated total energy is -2.9034 eV per atom. The mass density comes out at 7.952 g/cm³. Its energy above the most stable polymorph in this dataset is 0 meV per atom.



# CsPuBe

A relaxed structure of CsPuBe (PBE-GGA, OQMD).

abc: 5.3095 5.3095 5.3095
angles: 60.00 60.00 60.00
Element x y z (fractional)
Cs: 0.0000 0.0000 0.0000
Pu: 0.5000 0.5000 0.5000
Be: 0.2500 0.2500 0.2500

Summary:
The symmetry is F-43m, No. 216. For the magnetic moment, the calculation gives 6.728 μB per formula unit. The value obtained for the calculated total energy is -5.0226 eV per atom. The mass density comes out at 6.055 g/cm³.



# CsBeRe

A relaxed structure of CsBeRe (PBE-GGA, OQMD).

abc: 4.7525 4.7525 4.7525
angles: 60.00 60.00 60.00
Element x y z (fractional)
Cs: 0.0000 0.0000 0.0000
Be: 0.2500 0.2500 0.2500
Re: 0.5000 0.5000 0.5000

Summary:
The symmetry is F-43m, No. 216. For the magnetic moment, the calculation gives 2.267 μB per formula unit. The value obtained for the calculated total energy is -3.2117 eV per atom. The mass density comes out at 7.179 g/cm³.



# CsSmBeS3

A relaxed structure of CsSmBeS3 (PBE-GGA, OQMD).

abc: 8.0084 8.0084 10.6862
angles: 90.00 90.00 151.21
Element x y z (fractional)
Cs: 0.2387 0.7613 0.7500
Cs: 0.7613 0.2387 0.2500
Sm: 0.5000 0.5000 0.0000
Sm: 0.5000 0.5000 0.5000
Be: 0.0409 0.9591 0.2500
Be: 0.9591 0.0409 0.7500
S: 0.1112 0.8888 0.0839
S: 0.1112 0.8888 0.4161
S: 0.4548 0.5452 0.2500
S: 0.5452 0.4548 0.7500
S: 0.8888 0.1112 0.5839
S: 0.8888 0.1112 0.9161

Summary:
The symmetry is Cmcm, No. 63. For the magnetic moment, the calculation gives 0.001 μB per formula unit. The value obtained for the calculated total energy is -5.1545 eV per atom. The mass density comes out at 3.909 g/cm³.



# CsThBe

A relaxed structure of CsThBe (PBE-GGA, OQMD).

abc: 5.0276 5.0276 5.0276
angles: 60.00 60.00 60.00
Element x y z (fractional)
Cs: 0.0000 0.0000 0.0000
Th: 0.2500 0.2500 0.2500
Be: 0.7500 0.7500 0.7500

Summary:
The symmetry is F-43m, No. 216. For the magnetic moment, the calculation gives 0.004 μB per formula unit. The value obtained for the calculated total energy is -2.2327 eV per atom. The mass density comes out at 6.910 g/cm³. Its energy above the most stable polymorph in this dataset is 372 meV per atom.



# CsThBe

A relaxed structure of CsThBe (PBE-GGA, OQMD).

abc: 5.1808 5.1808 5.1808
angles: 60.00 60.00 60.00
Element x y z (fractional)
Cs: 0.0000 0.0000 0.0000
Th: 0.5000 0.5000 0.5000
Be: 0.2500 0.2500 0.2500

Summary:
The symmetry is F-43m, No. 216. For the magnetic moment, the calculation gives 0.248 μB per formula unit. The value obtained for the calculated total energy is -2.6044 eV per atom. The mass density comes out at 6.315 g/cm³. Its energy above the most stable polymorph in this dataset is 0 meV per atom.



# CsTmBe

A relaxed structure of CsTmBe (PBE-GGA, OQMD).

abc: 5.3017 5.3017 5.3017
angles: 60.00 60.00 60.00
Element x y z (fractional)
Cs: 0.0000 0.0000 0.0000
Tm: 0.7500 0.7500 0.7500
Be: 0.5000 0.5000 0.5000

Summary:
The symmetry is F-43m, No. 216. For the magnetic moment, the calculation gives 0.038 μB per formula unit. The value obtained for the calculated total energy is -1.6366 eV per atom. The mass density comes out at 4.899 g/cm³.



# CsBeW

A relaxed structure of CsBeW (PBE-GGA, OQMD).

abc: 5.8267 5.8267 5.8267
angles: 60.00 60.00 60.00
Element x y z (fractional)
Cs: 0.0000 0.0000 0.0000
Be: 0.7500 0.7500 0.7500
W: 0.2500 0.2500 0.2500

Summary:
The symmetry is F-43m, No. 216. For the magnetic moment, the calculation gives 5.041 μB per formula unit. The value obtained for the calculated total energy is -2.6252 eV per atom. The mass density comes out at 3.867 g/cm³. Its energy above the most stable polymorph in this dataset is 623 meV per atom.



# CsBeW

A relaxed structure of CsBeW (PBE-GGA, OQMD).

abc: 4.8967 4.8967 4.8967
angles: 60.00 60.00 60.00
Element x y z (fractional)
Cs: 0.0000 0.0000 0.0000
Be: 0.2500 0.2500 0.2500
W: 0.5000 0.5000 0.5000

Summary:
The symmetry is F-43m, No. 216. For the magnetic moment, the calculation gives 3.387 μB per formula unit. The value obtained for the calculated total energy is -3.2482 eV per atom. The mass density comes out at 6.516 g/cm³. Its energy above the most stable polymorph in this dataset is 0 meV per atom.



# CsBeZn

A relaxed structure of CsBeZn (PBE-GGA, OQMD).

abc: 5.3900 5.3900 5.3900
angles: 60.00 60.00 60.00
Element x y z (fractional)
Cs: 0.0000 0.0000 0.0000
Be: 0.2500 0.2500 0.2500
Zn: 0.5000 0.5000 0.5000

Summary:
The symmetry is F-43m, No. 216. The value obtained for the calculated total energy is -0.9194 eV per atom. The mass density comes out at 3.109 g/cm³.



# Cs2Be2Zn3

A relaxed structure of Cs2Be2Zn3 (PBE-GGA, OQMD).

abc: 13.0783 13.0783 13.0783
angles: 18.50 18.50 18.50
Element x y z (fractional)
Cs: 0.0000 0.0000 0.0000
Cs: 0.4481 0.4481 0.4481
Be: 0.1945 0.1945 0.1945
Be: 0.5991 0.5991 0.5991
Zn: 0.2579 0.2579 0.2579
Zn: 0.5392 0.5392 0.5392
Zn: 0.8579 0.8579 0.8579

Summary:
The symmetry is R3m, No. 160. The value obtained for the calculated total energy is -1.5147 eV per atom. The mass density comes out at 4.054 g/cm³.



# CsZrBe

A relaxed structure of CsZrBe (PBE-GGA, OQMD).

abc: 4.8076 4.8076 4.8076
angles: 60.00 60.00 60.00
Element x y z (fractional)
Cs: 0.0000 0.0000 0.0000
Zr: 0.2500 0.2500 0.2500
Be: 0.7500 0.7500 0.7500

Summary:
The symmetry is F-43m, No. 216. For the magnetic moment, the calculation gives 0.008 μB per formula unit. The value obtained for the calculated total energy is -2.2789 eV per atom. The mass density comes out at 4.927 g/cm³.



# ErBeCu

A relaxed structure of ErBeCu (PBE-GGA, OQMD).

abc: 4.3004 4.3004 4.3004
angles: 60.00 60.00 60.00
Element x y z (fractional)
Er: 0.0000 0.0000 0.0000
Be: 0.5000 0.5000 0.5000
Cu: 0.7500 0.7500 0.7500

Summary:
The symmetry is F-43m, No. 216. For the magnetic moment, the calculation gives 0.359 μB per formula unit. The value obtained for the calculated total energy is -3.7950 eV per atom. The mass density comes out at 7.081 g/cm³. Its energy above the most stable polymorph in this dataset is 318 meV per atom.



# ErBeCu

A relaxed structure of ErBeCu (PBE-GGA, OQMD).

abc: 4.1273 4.1273 10.0842
angles: 90.00 90.00 120.00
Element x y z (fractional)
Er: 0.0000 0.0000 0.0000
Er: 0.0000 0.0000 0.3344
Er: 0.0000 0.0000 0.6656
Be: 0.3333 0.6667 0.5000
Be: 0.6667 0.3333 0.1680
Be: 0.6667 0.3333 0.8320
Cu: 0.3333 0.6667 0.1694
Cu: 0.3333 0.6667 0.8306
Cu: 0.6667 0.3333 0.5000

Summary:
The symmetry is P-6m2, No. 187. For the magnetic moment, the calculation gives 0.013 μB per formula unit. The value obtained for the calculated total energy is -4.1126 eV per atom. The mass density comes out at 8.030 g/cm³. Its energy above the most stable polymorph in this dataset is 0 meV per atom.



# ErBeCu

A relaxed structure of ErBeCu (PBE-GGA, OQMD).

abc: 4.4363 4.4363 4.4363
angles: 60.00 60.00 60.00
Element x y z (fractional)
Er: 0.0000 0.0000 0.0000
Be: 0.7500 0.7500 0.7500
Cu: 0.2500 0.2500 0.2500

Summary:
The symmetry is F-43m, No. 216. For the magnetic moment, the calculation gives 0.001 μB per formula unit. The value obtained for the calculated total energy is -3.2872 eV per atom. The mass density comes out at 6.450 g/cm³. Its energy above the most stable polymorph in this dataset is 825 meV per atom.



# BeFe2Cu

A relaxed structure of BeFe2Cu (PBE-GGA, OQMD).

abc: 3.9071 3.9071 3.9071
angles: 60.00 60.00 60.00
Element x y z (fractional)
Be: 0.0000 0.0000 0.0000
Fe: 0.2500 0.2500 0.2500
Fe: 0.5000 0.5000 0.5000
Cu: 0.7500 0.7500 0.7500

Summary:
The symmetry is F-43m, No. 216. For the magnetic moment, the calculation gives 4.054 μB per formula unit. The value obtained for the calculated total energy is -5.9550 eV per atom. The mass density comes out at 7.255 g/cm³.



# BeGa2FeCu4

A relaxed structure of BeGa2FeCu4 (PBE-GGA, OQMD).

abc: 3.9259 3.9259 6.1119
angles: 90.00 90.00 90.00
Element x y z (fractional)
Be: 0.0000 0.0000 0.0000
Ga: 0.0000 0.0000 0.5000
Ga: 0.5000 0.5000 0.0000
Fe: 0.5000 0.5000 0.5000
Cu: 0.0000 0.5000 0.2356
Cu: 0.0000 0.5000 0.7644
Cu: 0.5000 0.0000 0.2356
Cu: 0.5000 0.0000 0.7644

Summary:
The symmetry is P4/mmm, No. 123. For the magnetic moment, the calculation gives 2.579 μB per formula unit. The value obtained for the calculated total energy is -4.1208 eV per atom. The mass density comes out at 8.082 g/cm³.



# BeFeCu4Ge2

A relaxed structure of BeFeCu4Ge2 (PBE-GGA, OQMD).

abc: 3.9176 3.9176 6.4091
angles: 90.00 90.00 90.00
Element x y z (fractional)
Be: 0.0000 0.0000 0.0000
Fe: 0.5000 0.5000 0.5000
Cu: 0.0000 0.5000 0.2336
Cu: 0.0000 0.5000 0.7664
Cu: 0.5000 0.0000 0.2336
Cu: 0.5000 0.0000 0.7664
Ge: 0.0000 0.0000 0.5000
Ge: 0.5000 0.5000 0.0000

Summary:
The symmetry is P4/mmm, No. 123. For the magnetic moment, the calculation gives 2.746 μB per formula unit. The value obtained for the calculated total energy is -4.3765 eV per atom. The mass density comes out at 7.839 g/cm³. Its energy above the most stable polymorph in this dataset is 0 meV per atom.



# BeIn2FeCu4

A relaxed structure of BeIn2FeCu4 (PBE-GGA, OQMD).

abc: 4.1876 4.1876 6.2555
angles: 90.00 90.00 90.00
Element x y z (fractional)
Be: 0.0000 0.0000 0.0000
In: 0.0000 0.0000 0.5000
In: 0.5000 0.5000 0.0000
Fe: 0.5000 0.5000 0.5000
Cu: 0.0000 0.5000 0.2409
Cu: 0.0000 0.5000 0.7591
Cu: 0.5000 0.0000 0.2409
Cu: 0.5000 0.0000 0.7591

Summary:
The symmetry is P4/mmm, No. 123. For the magnetic moment, the calculation gives 2.678 μB per formula unit. The value obtained for the calculated total energy is -3.8771 eV per atom. The mass density comes out at 8.305 g/cm³. Its energy above the most stable polymorph in this dataset is 0 meV per atom.



# Mg2BeFeCu4

A relaxed structure of Mg2BeFeCu4 (PBE-GGA, OQMD).

abc: 4.0632 4.0632 6.0237
angles: 90.00 90.00 90.00
Element x y z (fractional)
Mg: 0.0000 0.0000 0.0000
Mg: 0.5000 0.5000 0.5000
Be: 0.0000 0.0000 0.5000
Fe: 0.5000 0.5000 0.0000
Cu: 0.0000 0.5000 0.2560
Cu: 0.0000 0.5000 0.7440
Cu: 0.5000 0.0000 0.2560
Cu: 0.5000 0.0000 0.7440

Summary:
The symmetry is P4/mmm, No. 123. For the magnetic moment, the calculation gives 2.405 μB per formula unit. The value obtained for the calculated total energy is -3.6533 eV per atom. The mass density comes out at 6.139 g/cm³.



# BeFeCuPb

A relaxed structure of BeFeCuPb (PBE-GGA, OQMD).

abc: 4.3430 4.3430 4.3430
angles: 60.00 60.00 60.00
Element x y z (fractional)
Be: 0.0000 0.0000 0.0000
Fe: 0.7500 0.7500 0.7500
Cu: 0.2500 0.2500 0.2500
Pb: 0.5000 0.5000 0.5000

Summary:
The symmetry is F-43m, No. 216. For the magnetic moment, the calculation gives 1.918 μB per formula unit. The value obtained for the calculated total energy is -4.3148 eV per atom. The mass density comes out at 9.621 g/cm³. Its energy above the most stable polymorph in this dataset is 0 meV per atom.



# BeFeCuPb

A relaxed structure of BeFeCuPb (PBE-GGA, OQMD).

abc: 4.2771 4.2771 4.2771
angles: 60.00 60.00 60.00
Element x y z (fractional)
Be: 0.0000 0.0000 0.0000
Fe: 0.2500 0.2500 0.2500
Cu: 0.5000 0.5000 0.5000
Pb: 0.7500 0.7500 0.7500

Summary:
The symmetry is F-43m, No. 216. For the magnetic moment, the calculation gives 2.115 μB per formula unit. The value obtained for the calculated total energy is -4.2402 eV per atom. The mass density comes out at 10.073 g/cm³. Its energy above the most stable polymorph in this dataset is 75 meV per atom.